A relaxed Co2BiO crystal. Source: Alexandria, functional PBE with a Hubbard U.

E above lowest polymorph, meV per atom: 0.0

Structure (extended XYZ):
```
8
Lattice="-2.556 2.556 5.586 2.556 -2.556 5.586 2.556 2.556 -5.586" Properties=species:S:1:pos:R:3 pbc="T T T"
Co -0.005 1.278 1.396
Co 1.278 2.551 4.189
Co 0.005 3.834 1.396
Co -1.278 2.561 4.189
Bi 2.556 0.000 2.793
Bi 0.000 0.000 5.586
O 0.000 0.000 0.000
O 0.000 2.556 2.793
```